[1]
Compound: AcHg6Pb23
Source: Alexandria via LeMat-Bulk
Functional: PBE
Structure: optimized geometry

The structure in extended XYZ format:
```
30
Lattice="-5.8594 5.8594 6.9391 5.8594 -5.8594 6.9391 5.8594 5.8594 -6.9391" Properties=species:S:1:pos:R:3 pbc="T T T"
Ac 0.0000 0.0000 0.0000
Hg 2.8573 2.8573 0.0000
Hg 3.0022 -3.0022 6.9391
Hg 0.0000 0.0000 3.4028
Hg 0.0000 0.0000 10.4755
Hg -3.0022 3.0022 6.9391
Hg 3.0022 3.0022 6.9391
Pb 2.9297 2.9297 -3.4696
Pb 2.9297 -2.9297 3.4696
Pb 5.8594 0.0000 0.0000
Pb 5.8594 2.9166 -1.7015
Pb 3.1648 0.0000 1.7789
Pb 8.5540 0.0000 1.7789
Pb 5.8594 -2.6946 5.1602
Pb 5.8594 2.9166 1.7015
Pb 2.9166 5.8594 -1.7015
Pb 2.9429 0.0000 5.2376
Pb 0.0000 3.1648 1.7789
Pb -2.9297 2.9297 3.4696
Pb 0.0000 5.8594 0.0000
Pb 0.0000 0.0000 6.9391
Pb 2.9297 2.9297 3.4696
Pb 5.8594 2.6946 5.1602
Pb 2.9166 5.8594 1.7015
Pb 2.9429 0.0000 8.6407
Pb 0.0000 2.9429 5.2376
Pb 0.0000 8.5540 1.7789
Pb -2.6946 5.8594 5.1602
Pb 2.6946 5.8594 5.1602
Pb 0.0000 2.9429 8.6407
```

Computed properties:
The crystal system is tetragonal. The symmetry is I4/mmm, No. 139. As for the formation energy: 0.035 eV per atom.

=====

[2]
Compound: TiBiSe2
Source: Alexandria via LeMat-Bulk
Functional: PBE
Structure: optimized geometry

The structure in extended XYZ format:
```
8
Lattice="9.2053 -1.7432 0.0000 9.2053 1.7432 0.0000 -1.5615 0.0000 6.1695" Properties=species:S:1:pos:R:3 pbc="T T T"
Ti 8.4246 0.8718 3.0847
Ti 9.2053 -0.8718 0.0000
Bi 4.6017 0.0021 0.0009
Bi 3.8209 -0.0021 3.0856
Se 7.4419 0.8522 0.6840
Se 9.4066 0.8901 5.4849
Se 6.6611 -0.8522 3.7687
Se 10.1874 -0.8901 2.4002
```

Computed properties:
The crystal system is monoclinic. The symmetry is Cc, No. 9. As for the uncorrected formation energy: -0.773 eV per atom.

=====

[3]
Compound: Sm8Bi2Te3
Source: Alexandria via LeMat-Bulk
Functional: PBE
Structure: optimized geometry

The structure in extended XYZ format:
```
13
Lattice="7.1398 -4.7013 0.0000 7.1398 4.7013 0.0000 -0.2411 0.0000 6.9106" Properties=species:S:1:pos:R:3 pbc="T T T"
Sm 4.8613 2.9007 2.0969
Sm 1.7673 0.0000 1.0721
Sm 9.1772 2.9007 4.8137
Sm 4.8463 0.0000 6.3223
Sm 9.1921 0.0000 0.5882
Sm 4.8613 -2.9007 2.0969
Sm 12.2711 0.0000 5.8385
Sm 9.1772 -2.9007 4.8137
Bi 4.2575 0.0000 3.1288
Bi 9.7809 0.0000 3.7818
Te -0.1206 0.0000 3.4553
Te 7.1398 2.2930 0.0000
Te 7.1398 -2.2930 0.0000
```

Computed properties:
The crystal system is monoclinic. The symmetry is C2/m, No. 12. As for the uncorrected formation energy: -0.777 eV per atom.

=====

[4]
Compound: CaDyGe2
Source: Alexandria via LeMat-Bulk
Functional: PBE
Structure: optimized geometry

The structure in extended XYZ format:
```
4
Lattice="3.3289 0.0000 0.0000 0.0000 3.3289 0.0000 0.0000 0.0000 8.3164" Properties=species:S:1:pos:R:3 pbc="T T T"
Ca 0.0000 0.0000 0.0000
Dy 0.0000 0.0000 4.1582
Ge 1.6645 1.6645 2.1299
Ge 1.6645 1.6645 6.1865
```

Computed properties:
The crystal system is tetragonal. The symmetry is P4/mmm, No. 123. As for the formation energy: -0.580 eV per atom.

=====

[5]
Compound: RbTmTl2I6
Source: Alexandria via LeMat-Bulk
Functional: PBE
Structure: optimized geometry

The structure in extended XYZ format:
```
10
Lattice="4.3396 2.5055 7.6158 -4.3396 2.5055 7.6158 0.0000 -5.0110 7.6158" Properties=species:S:1:pos:R:3 pbc="T T T"
Rb 0.0000 0.0000 0.0000
Tm 0.0000 0.0000 11.1968
Tl 0.0000 0.0000 6.7279
Tl 0.0000 0.0000 18.4355
I -2.3945 -0.0284 9.3358
I -1.4216 -2.0621 12.8639
I 1.2219 -2.0595 9.3358
I -1.0750 2.2621 12.8639
I 1.1726 2.0879 9.3358
I 2.4966 -0.2001 12.8639
```

Computed properties:
The crystal system is trigonal. The symmetry is R3, No. 146. As for the uncorrected formation energy: -1.111 eV per atom.

=====

[6]
Compound: RbHg3I
Source: Alexandria via LeMat-Bulk
Functional: PBE
Structure: optimized geometry

The structure in extended XYZ format:
```
5
Lattice="7.0715 0.0000 0.0000 0.0000 7.0715 0.0000 0.0000 0.0000 7.0715" Properties=species:S:1:pos:R:3 pbc="T T T"
Rb 0.0000 0.0000 0.0000
Hg 0.0000 3.5357 3.5357
Hg 3.5357 0.0000 3.5357
Hg 3.5357 3.5357 0.0000
I 3.5357 3.5357 3.5357
```

Computed properties:
The crystal system is cubic. The symmetry is Pm-3m, No. 221. As for the uncorrected formation energy: -0.135 eV per atom.

=====

[7]
Compound: Be3Te
Source: Alexandria via LeMat-Bulk
Functional: PBE
Structure: optimized geometry

The structure in extended XYZ format:
```
16
Lattice="6.0118 0.0000 0.0000 -3.0059 5.2063 0.0000 0.0000 0.0000 7.2922" Properties=species:S:1:pos:R:3 pbc="T T T"
Be -1.5029 2.6032 0.0000
Be -1.5029 2.6032 3.6461
Be 0.0000 2.2127 1.8230
Be -1.0896 4.1000 1.8230
Be 1.9162 1.1063 5.4691
Be 3.0059 0.0000 0.0000
Be 3.0059 0.0000 3.6461
Be 1.5029 2.6032 0.0000
Be 1.5029 2.6032 3.6461
Be 1.0896 4.1000 1.8230
Be 4.0955 1.1063 5.4691
Be 3.0059 2.9936 5.4691
Te 0.0000 0.0000 0.0000
Te 0.0000 0.0000 3.6461
Te 0.0000 3.4709 5.4691
Te 3.0059 1.7354 1.8230
```

Computed properties:
The crystal system is hexagonal. The symmetry is P6_3/mmc, No. 194. As for the uncorrected formation energy: 0.651 eV per atom.

=====

[8]
Compound: Hf3FeBi
Source: Alexandria via LeMat-Bulk
Functional: PBE
Structure: optimized geometry

The structure in extended XYZ format:
```
5
Lattice="4.8242 0.0000 0.0000 0.0000 4.8242 0.0000 0.0000 0.0000 4.8242" Properties=species:S:1:pos:R:3 pbc="T T T"
Hf 0.0000 0.0000 2.4121
Hf 0.0000 2.4121 0.0000
Hf 2.4121 0.0000 0.0000
Fe 0.0000 0.0000 0.0000
Bi 2.4121 2.4121 2.4121
```

Computed properties:
The crystal system is cubic. The symmetry is Pm-3m, No. 221. As for the formation energy: 0.035 eV per atom.

=====

[9]
Compound: Rb2MgGa2
Source: Alexandria via LeMat-Bulk
Functional: PBE
Structure: optimized geometry

The structure in extended XYZ format:
```
10
Lattice="7.6462 0.0000 0.0000 0.0000 7.6462 0.0000 0.0000 0.0000 6.0400" Properties=species:S:1:pos:R:3 pbc="T T T"
Rb 1.4161 2.4070 0.0000
Rb 2.4070 6.2301 0.0000
Rb 5.2392 1.4161 0.0000
Rb 6.2301 5.2392 0.0000
Mg 0.0000 0.0000 3.0200
Mg 3.8231 3.8231 3.0200
Ga 0.9067 4.7298 3.0200
Ga 2.9163 0.9067 3.0200
Ga 4.7298 6.7394 3.0200
Ga 6.7394 2.9163 3.0200
```

Computed properties:
The crystal system is tetragonal. The symmetry is P4/mbm, No. 127. As for the formation energy: 0.126 eV per atom.

=====

[10]
Compound: TaZnCr2Re
Source: Alexandria via LeMat-Bulk
Functional: PBE
Structure: optimized geometry

The structure in extended XYZ format:
```
5
Lattice="4.4842 0.0000 0.0000 0.0000 4.4842 0.0000 0.0000 0.0000 4.6864" Properties=species:S:1:pos:R:3 pbc="T T T"
Ta 0.0000 0.0000 0.0000
Zn 2.2421 2.2421 0.0000
Cr 0.0000 2.2421 2.3432
Cr 2.2421 0.0000 2.3432
Re 2.2421 2.2421 2.3432
```

Computed properties:
The crystal system is tetragonal. The symmetry is P4/mmm, No. 123. As for the formation energy: 1.515 eV per atom.

=====

[11]
Compound: Nd2ScNi3Ge4
Source: Alexandria via LeMat-Bulk
Functional: PBE
Structure: optimized geometry

The structure in extended XYZ format:
```
10
Lattice="4.1535 0.0000 0.0000 0.0000 4.1535 0.0000 0.0000 0.0000 10.6397" Properties=species:S:1:pos:R:3 pbc="T T T"
Nd 0.0000 2.0767 2.4535
Nd 2.0767 0.0000 8.1863
Sc 0.0000 0.0000 5.3199
Ni 0.0000 2.0767 9.4146
Ni 2.0767 0.0000 1.2252
Ni 2.0767 2.0767 5.3199
Ge 0.0000 0.0000 0.0000
Ge 0.0000 2.0767 7.0095
Ge 2.0767 0.0000 3.6302
Ge 2.0767 2.0767 0.0000
```

Computed properties:
The crystal system is tetragonal. The symmetry is P-4m2, No. 115. As for the formation energy: -0.703 eV per atom.

=====

[12]
Compound: YTl4Pb
Source: Alexandria via LeMat-Bulk
Functional: PBE
Structure: optimized geometry

The structure in extended XYZ format:
```
6
Lattice="0.0000 4.4788 4.4788 4.4788 0.0000 4.4788 4.4788 4.4788 0.0000" Properties=species:S:1:pos:R:3 pbc="T T T"
Y 0.0000 0.0000 0.0000
Tl 3.3599 3.3599 3.3599
Tl 5.5976 5.5976 3.3599
Tl 5.5976 3.3599 5.5976
Tl 3.3599 5.5976 5.5976
Pb 6.7182 6.7182 6.7182
```

Computed properties:
The crystal system is cubic. The symmetry is F-43m, No. 216. As for the formation energy: 0.073 eV per atom.